Material: NaGeB
Method: DFT, PBE-GGA
State: relaxed

ΔH_f (0 K)   0.390 eV per atom
Fermi-level density of states   0.702 states/eV/cell
Spin magnetization   0.000 μB/atom

The structure in CIF format:
```
data_NaGeB
_space_group_name_H-M_alt 'P 1'
_space_group_IT_number 1
_cell_length_a 9.947
_cell_length_b 9.947
_cell_length_c 7.626
_cell_angle_alpha 49.29
_cell_angle_beta 49.29
_cell_angle_gamma 90.00
loop_
_space_group_symop_operation_xyz
'x,y,z'
loop_
_atom_site_label
_atom_site_fract_x
_atom_site_fract_y
_atom_site_fract_z
B1 0.913 0.913 0.000
Ge1 0.000 0.728 0.000
B2 0.913 0.087 0.000
B3 0.087 0.087 0.000
Ge2 0.272 0.000 0.000
Ge3 0.000 0.272 0.000
Na1 0.500 0.792 0.000
Na2 0.500 0.208 0.000
Ge4 0.728 0.000 0.000
Na3 0.208 0.500 0.000
B4 0.087 0.913 0.000
Na4 0.792 0.500 0.000
```

***

Material: NaGeB
Method: DFT, PBE-GGA
State: relaxed

ΔH_f (0 K)   0.617 eV per atom
Fermi-level density of states   0.699 states/eV/cell
Spin magnetization   0.000 μB/atom

The structure in CIF format:
```
data_NaGeB
_space_group_name_H-M_alt 'P 1'
_space_group_IT_number 1
_cell_length_a 4.826
_cell_length_b 4.826
_cell_length_c 7.391
_cell_angle_alpha 90.00
_cell_angle_beta 90.00
_cell_angle_gamma 120.00
loop_
_space_group_symop_operation_xyz
'x,y,z'
loop_
_atom_site_label
_atom_site_fract_x
_atom_site_fract_y
_atom_site_fract_z
Na1 0.667 0.333 0.750
B1 0.000 0.000 0.750
Ge1 0.000 0.000 0.500
Ge2 0.000 0.000 0.000
B2 0.000 0.000 0.250
Na2 0.333 0.667 0.250
```

***

Material: NaGe3B
Method: DFT, PBE-GGA
State: relaxed

E above lowest polymorph   1280 meV/atom
ΔH_f (0 K)   1.848 eV per atom
Fermi-level density of states   2.663 states/eV/cell
Spin magnetization   0.000 μB/atom

The structure in CIF format:
```
data_NaGe3B
_space_group_name_H-M_alt 'P 1'
_space_group_IT_number 1
_cell_length_a 5.007
_cell_length_b 5.007
_cell_length_c 5.007
_cell_angle_alpha 90.00
_cell_angle_beta 90.00
_cell_angle_gamma 90.00
loop_
_space_group_symop_operation_xyz
'x,y,z'
loop_
_atom_site_label
_atom_site_fract_x
_atom_site_fract_y
_atom_site_fract_z
Na1 0.000 0.000 0.000
Ge1 0.500 0.000 0.000
Ge2 0.000 0.500 0.000
Ge3 0.000 0.000 0.500
B1 0.500 0.500 0.500
```

***

Material: NaGeB
Method: DFT, PBE-GGA
State: relaxed

ΔH_f (0 K)   0.070 eV per atom
Fermi-level density of states   1.360 states/eV/cell
Spin magnetization   0.000 μB/atom

The structure in CIF format:
```
data_NaGeB
_space_group_name_H-M_alt 'P 1'
_space_group_IT_number 1
_cell_length_a 6.235
_cell_length_b 3.555
_cell_length_c 4.679
_cell_angle_alpha 90.00
_cell_angle_beta 90.00
_cell_angle_gamma 90.00
loop_
_space_group_symop_operation_xyz
'x,y,z'
loop_
_atom_site_label
_atom_site_fract_x
_atom_site_fract_y
_atom_site_fract_z
Na1 0.500 0.500 0.000
B1 0.634 0.000 0.500
Ge1 0.195 0.500 0.500
Na2 0.000 0.000 0.000
B2 0.366 0.000 0.500
Ge2 0.805 0.500 0.500
```

***

Material: NaGeB
Method: DFT, PBE-GGA
State: relaxed

ΔH_f (0 K)   0.279 eV per atom
Fermi-level density of states   3.764 states/eV/cell
Spin magnetization   0.000 μB/atom

The structure in CIF format:
```
data_NaGeB
_space_group_name_H-M_alt 'P 1'
_space_group_IT_number 1
_cell_length_a 12.180
_cell_length_b 3.192
_cell_length_c 5.694
_cell_angle_alpha 90.00
_cell_angle_beta 90.00
_cell_angle_gamma 90.00
loop_
_space_group_symop_operation_xyz
'x,y,z'
loop_
_atom_site_label
_atom_site_fract_x
_atom_site_fract_y
_atom_site_fract_z
B1 0.500 0.000 0.000
Na1 0.313 0.250 0.783
B2 0.000 0.500 0.500
Na2 0.687 0.750 0.217
Na3 0.187 0.750 0.283
Ge1 0.933 0.750 0.126
B3 0.000 0.000 0.500
Ge2 0.067 0.250 0.874
Ge3 0.567 0.250 0.626
B4 0.500 0.500 0.000
Ge4 0.433 0.750 0.374
Na4 0.813 0.250 0.717
```

***

Material: NaGeB
Method: DFT, PBE-GGA
State: relaxed

ΔH_f (0 K)   0.628 eV per atom
Fermi-level density of states   1.164 states/eV/cell
Spin magnetization   0.000 μB/atom

The structure in CIF format:
```
data_NaGeB
_space_group_name_H-M_alt 'P 1'
_space_group_IT_number 1
_cell_length_a 4.786
_cell_length_b 4.786
_cell_length_c 5.387
_cell_angle_alpha 90.00
_cell_angle_beta 90.00
_cell_angle_gamma 100.90
loop_
_space_group_symop_operation_xyz
'x,y,z'
loop_
_atom_site_label
_atom_site_fract_x
_atom_site_fract_y
_atom_site_fract_z
Na1 0.873 0.127 0.750
Ge1 0.698 0.302 0.250
Ge2 0.302 0.698 0.750
B1 0.500 0.500 0.500
Na2 0.127 0.873 0.250
B2 0.500 0.500 0.000
```